Run 1
A relaxed structure of ZrSiPb3, computed with PBE.

Output
total magnetic moment = 0.33 μB/f.u.
D(E_F) = 4.58 states/eV per cell

abc: 5.641 5.641 5.641
angles: 90.00 90.00 90.00
Space group Pm-3m (No. 221)
Symmetry-distinct sites (fractional):
Zr 0.000 0.000 0.000 (multiplicity 1)
Si 0.500 0.500 0.500 (multiplicity 1)
Pb 0.000 0.000 0.500 (multiplicity 3)

=====

Run 2
A relaxed structure of ZrSiPb3, computed with PBE.

Output
total magnetic moment = 0.00 μB/f.u.
D(E_F) = 6.40 states/eV per cell

abc: 5.302 5.302 5.302
angles: 90.00 90.00 90.00
Space group Pm-3m (No. 221)
Symmetry-distinct sites (fractional):
Zr 0.000 0.000 0.000 (multiplicity 1)
Si 0.500 0.500 0.500 (multiplicity 1)
Pb 0.000 0.500 0.500 (multiplicity 3)

=====

Computed energies relative to the best structure, in meV per atom: run 1 0; run 2 8

=====

Run 1
A relaxed structure of Sm3Pb2, computed with PBE.

Output
total magnetic moment = 0.01 μB/f.u.
D(E_F) = 3.93 states/eV per cell

abc: 5.4030 5.4030 6.6560
angles: 90.00 90.00 120.00
Space group P-3m1 (No. 164)
Symmetry-distinct sites (fractional):
Sm 0.0000 0.0000 0.0000 (multiplicity 1)
Sm 0.3333 0.6667 0.3106 (multiplicity 2)
Pb 0.3333 0.6667 0.7933 (multiplicity 2)

=====

Run 2
A relaxed structure of Sm3Pb2, computed with PBE.

Output
total magnetic moment = 0.22 μB/f.u.
D(E_F) = 14.91 states/eV per cell

abc: 6.318 6.318 15.897
angles: 90.00 90.00 90.00
Space group I4_1/amd (No. 141, origin choice 2)
Symmetry-distinct sites (fractional):
Sm 0.000 0.000 0.000 (multiplicity 8)
Sm 0.000 0.250 0.375 (multiplicity 4)
Pb 0.000 0.250 0.176 (multiplicity 8)

=====

Computed energies relative to the best structure, in meV per atom: run 1 38; run 2 0

=====

Run 1
A relaxed structure of Sm5Pb3, computed with PBE.

Output
total magnetic moment = 0.00 μB/f.u.
D(E_F) = 12.95 states/eV per cell

abc: 9.2735 9.2735 6.8000
angles: 90.00 90.00 120.00
Space group P6_3/mcm (No. 193)
Symmetry-distinct sites (fractional):
Sm 0.0000 0.2377 0.2500 (multiplicity 6)
Sm 0.3333 0.6667 0.0000 (multiplicity 4)
Pb 0.0000 0.3947 0.7500 (multiplicity 6)

=====

Run 2
A relaxed structure of Sm5Pb3, computed with PBE.

Output
total magnetic moment = 1.49 μB/f.u.
D(E_F) = 34.17 states/eV per cell

abc: 8.428 8.428 14.145
angles: 90.00 90.00 90.00
Space group I4/mcm (No. 140)
Symmetry-distinct sites (fractional):
Sm 0.000 0.000 0.000 (multiplicity 4)
Sm 0.158 0.342 0.151 (multiplicity 16)
Pb 0.000 0.000 0.250 (multiplicity 4)
Pb 0.143 0.357 0.500 (multiplicity 8)

=====

Computed energies relative to the best structure, in meV per atom: run 1 0; run 2 65

=====

Run 1
A relaxed structure of Sm5Sn2Pb, computed with PBE.

Output
total magnetic moment = 0.00 μB/f.u.
D(E_F) = 20.47 states/eV per cell

abc: 7.047 7.047 9.354
angles: 90.00 90.00 90.00
Space group I4/mmm (No. 139)
Symmetry-distinct sites (fractional):
Sm 0.000 0.000 0.000 (multiplicity 2)
Sm 0.250 0.250 0.250 (multiplicity 8)
Sn 0.000 0.500 0.000 (multiplicity 4)
Pb 0.000 0.000 0.500 (multiplicity 2)

=====

Run 2
A relaxed structure of Sm5Sn2Pb, computed with PBE.

Output
total magnetic moment = 1.43 μB/f.u.
D(E_F) = 35.15 states/eV per cell

abc: 8.315 8.315 14.215
angles: 90.00 90.00 90.00
Space group I4/mcm (No. 140)
Symmetry-distinct sites (fractional):
Sm 0.000 0.000 0.000 (multiplicity 4)
Sm 0.161 0.339 0.148 (multiplicity 16)
Sn 0.138 0.362 0.500 (multiplicity 8)
Pb 0.000 0.000 0.250 (multiplicity 4)

=====

Computed energies relative to the best structure, in meV per atom: run 1 139; run 2 0